Material: CsHgSe2Br
Method: DFT, GGA-PBEsol
State: optimized geometry

Output
Formation energy without anion corrections = 630 meV/atom

Unit cell a=6.7754 b=6.7754 c=6.5039 alpha=90.00 beta=90.00 gamma=90.00
Element x y z (fractional)
Se 0.0000 0.5000 0.0000
Se 0.5000 0.0000 0.0000
Cs 0.0000 0.0000 0.0000
Hg 0.5000 0.5000 0.5000
Br 0.0000 0.0000 0.5000